# 1
{"formula": "PtRhS", "functional": "PBE", "state": "optimized geometry", "polymorph_energy_ev_per_atom": 0.0164, "formation_energy_uncorrected_ev_per_atom": -0.12, "total_energy_ev_per_cell": -35.76, "sg": "No. 25", "cell": [[3.2229, 0.0000, 0.0000], [0.0000, 5.6150, 0.0000], [0.0000, 0.0000, 5.2854]], "species": ["Pt", "Pt", "Rh", "Rh", "S", "S"], "fractional_positions": [[0.0000, 0.0000, 0.0000], [0.0000, 0.5000, 0.0065], [0.5000, 0.2467, 0.3686], [0.5000, 0.7533, 0.3686], [0.0000, 0.0000, 0.5659], [0.5000, 0.5000, 0.6974]]}



# 2
{"formula": "InCuSe2", "functional": "PBE", "state": "optimized geometry", "formation_energy_uncorrected_ev_per_atom": -0.44, "total_energy_ev_per_cell": -31.14, "sg": "No. 122", "cell": [[-2.9341, 2.9341, 5.9058], [2.9341, -2.9341, 5.9058], [2.9341, 2.9341, -5.9058]], "species": ["In", "In", "Cu", "Cu", "Se", "Se", "Se", "Se"], "fractional_positions": [[0.0000, 0.0000, 0.0000], [0.7500, 0.2500, 0.5000], [0.2500, 0.7500, 0.5000], [0.5000, 0.5000, 0.0000], [0.1563, 0.6250, 0.0313], [0.3750, 0.4063, 0.5313], [0.5937, 0.1250, 0.9687], [0.8750, 0.8437, 0.4687]]}



# 3
{"formula": "LaMg4Cu2", "functional": "PBE", "state": "optimized geometry", "polymorph_energy_ev_per_atom": 0.0000, "total_energy_ev_per_cell": -40.86, "e_form_kcal_per_mol_atoms": -3.069, "sg": "No. 136", "cell": [[8.3043, 0.0000, 0.0000], [0.0000, 8.3043, 0.0000], [0.0000, 0.0000, 4.3482]], "species": ["La", "La", "Mg", "Mg", "Mg", "Mg", "Mg", "Mg", "Mg", "Mg", "Cu", "Cu", "Cu", "Cu"], "fractional_positions": [[0.0000, 0.0000, 0.0000], [0.5000, 0.5000, 0.5000], [0.0857, 0.3345, 0.5000], [0.1655, 0.5857, 0.0000], [0.3345, 0.0857, 0.5000], [0.4143, 0.8345, 0.0000], [0.5857, 0.1655, 0.0000], [0.6655, 0.9143, 0.5000], [0.8345, 0.4143, 0.0000], [0.9143, 0.6655, 0.5000], [0.2177, 0.7823, 0.5000], [0.2823, 0.2823, 0.0000], [0.7177, 0.7177, 0.0000], [0.7823, 0.2177, 0.5000]]}



# 4
{"formula": "ReNiPb2", "functional": "PBE", "state": "optimized geometry", "polymorph_energy_ev_per_atom": 0.3988, "total_energy_ev_per_cell": -22.27, "e_form_kcal_per_mol_atoms": 19.470, "sg": "No. 12", "cell": [[3.3471, -3.3415, 0.0000], [3.3471, 3.3415, 0.0000], [-0.0091, 0.0000, 3.3907]], "species": ["Re", "Ni", "Pb", "Pb"], "fractional_positions": [[0.0000, 0.0000, 0.0000], [0.5000, 0.5000, 0.0000], [0.0000, 0.5000, 0.5000], [0.5000, 0.0000, 0.5000]]}



# 5
{"formula": "Pa2CuAu", "functional": "PBE", "state": "optimized geometry", "polymorph_energy_ev_per_atom": 0.0920, "total_energy_ev_per_cell": -26.34, "e_form_kcal_per_mol_atoms": 0.137, "sg": "No. 123", "cell": [[3.6914, 0.0000, 0.0000], [0.0000, 3.6914, 0.0000], [0.0000, 0.0000, 6.3552]], "species": ["Pa", "Pa", "Cu", "Au"], "fractional_positions": [[0.0000, 0.0000, 0.2219], [0.0000, 0.0000, 0.7781], [0.5000, 0.5000, 0.0000], [0.5000, 0.5000, 0.5000]]}



# 6
{"formula": "DyTiBe17", "functional": "PBE", "state": "optimized geometry", "total_energy_ev_per_cell": -78.81, "e_form_kcal_per_mol_atoms": -3.600, "sg": "No. 160", "cell": [[3.7688, 2.1759, 3.6630], [-3.7688, 2.1759, 3.6630], [0.0000, -4.3519, 3.6630]], "species": ["Dy", "Ti", "Be", "Be", "Be", "Be", "Be", "Be", "Be", "Be", "Be", "Be", "Be", "Be", "Be", "Be", "Be", "Be", "Be"], "fractional_positions": [[0.0000, 0.0000, 0.0000], [0.3268, 0.3268, 0.3268], [0.0059, 0.0059, 0.4997], [0.0059, 0.4997, 0.0059], [0.1622, 0.6580, 0.6580], [0.3216, 0.3216, 0.8141], [0.3216, 0.8141, 0.3216], [0.3757, 0.6572, 0.9498], [0.3757, 0.9498, 0.6572], [0.4997, 0.0059, 0.0059], [0.5603, 0.5603, 0.5603], [0.6572, 0.3757, 0.9498], [0.6572, 0.9498, 0.3757], [0.6580, 0.1622, 0.6580], [0.6580, 0.6580, 0.1622], [0.7539, 0.7539, 0.7539], [0.8141, 0.3216, 0.3216], [0.9498, 0.3757, 0.6572], [0.9498, 0.6572, 0.3757]]}



# 7
{"formula": "KCuPb2", "functional": "PBE", "state": "optimized geometry", "total_energy_ev_per_cell": -12.72, "e_form_kcal_per_mol_atoms": -0.606, "sg": "No. 166", "cell": [[2.2585, 1.3039, 7.3158], [-2.2585, 1.3039, 7.3158], [0.0000, -2.6078, 7.3158]], "species": ["K", "Cu", "Pb", "Pb"], "fractional_positions": [[0.0000, 0.0000, 0.0000], [0.5000, 0.5000, 0.5000], [0.2141, 0.2141, 0.2141], [0.7859, 0.7859, 0.7859]]}



# 8
{"formula": "KGaSbAu", "functional": "PBE", "state": "optimized geometry", "formation_energy_uncorrected_ev_per_atom": -0.16, "total_energy_ev_per_cell": -24.36, "sg": "No. 129", "cell": [[4.3911, 0.0000, 0.0000], [0.0000, 4.3911, 0.0000], [0.0000, 0.0000, 12.7727]], "species": ["K", "K", "Ga", "Ga", "Sb", "Sb", "Au", "Au"], "fractional_positions": [[0.2500, 0.2500, 0.1984], [0.7500, 0.7500, 0.8016], [0.2500, 0.7500, 0.5000], [0.7500, 0.2500, 0.5000], [0.2500, 0.2500, 0.6320], [0.7500, 0.7500, 0.3680], [0.2500, 0.7500, 0.0000], [0.7500, 0.2500, 0.0000]]}



# 9
{"formula": "LiNp2Ga9", "functional": "PBE", "state": "optimized geometry", "total_energy_ev_per_cell": -57.25, "e_form_kcal_per_mol_atoms": -4.254, "sg": "No. 123", "cell": [[4.2042, 0.0000, 0.0000], [0.0000, 4.2042, 0.0000], [0.0000, 0.0000, 12.5784]], "species": ["Li", "Np", "Np", "Ga", "Ga", "Ga", "Ga", "Ga", "Ga", "Ga", "Ga", "Ga"], "fractional_positions": [[0.0000, 0.0000, 0.0000], [0.0000, 0.0000, 0.3247], [0.0000, 0.0000, 0.6753], [0.0000, 0.5000, 0.1512], [0.0000, 0.5000, 0.5000], [0.0000, 0.5000, 0.8488], [0.5000, 0.0000, 0.1512], [0.5000, 0.0000, 0.5000], [0.5000, 0.0000, 0.8488], [0.5000, 0.5000, 0.0000], [0.5000, 0.5000, 0.3373], [0.5000, 0.5000, 0.6627]]}



# 10
{"formula": "Y9TmTh2", "functional": "PBE", "state": "optimized geometry", "total_energy_ev_per_cell": -76.98, "e_form_kcal_per_mol_atoms": 0.973, "sg": "No. 123", "cell": [[5.0516, 0.0000, 0.0000], [0.0000, 5.0516, 0.0000], [0.0000, 0.0000, 15.1070]], "species": ["Y", "Y", "Y", "Y", "Y", "Y", "Y", "Y", "Y", "Tm", "Th", "Th"], "fractional_positions": [[0.0000, 0.0000, 0.0000], [0.0000, 0.0000, 0.3326], [0.0000, 0.0000, 0.6674], [0.0000, 0.5000, 0.1677], [0.0000, 0.5000, 0.5000], [0.0000, 0.5000, 0.8323], [0.5000, 0.0000, 0.1677], [0.5000, 0.0000, 0.5000], [0.5000, 0.0000, 0.8323], [0.5000, 0.5000, 0.0000], [0.5000, 0.5000, 0.3340], [0.5000, 0.5000, 0.6660]]}



# 11
{"formula": "Cs6TaAs4", "functional": "PBE", "state": "optimized geometry", "total_energy_ev_per_cell": -81.18, "e_form_kcal_per_mol_atoms": -10.517, "sg": "No. 186", "cell": [[11.1728, 0.0000, 0.0000], [-5.5864, 9.6759, 0.0000], [0.0000, 0.0000, 9.0506]], "species": ["Cs", "Cs", "Cs", "Cs", "Cs", "Cs", "Cs", "Cs", "Cs", "Cs", "Cs", "Cs", "Ta", "Ta", "As", "As", "As", "As", "As", "As", "As", "As"], "fractional_positions": [[0.0700, 0.5350, 0.0000], [0.1448, 0.2895, 0.3176], [0.1448, 0.8552, 0.3176], [0.2895, 0.1448, 0.8176], [0.4650, 0.5350, 0.0000], [0.4650, 0.9300, 0.0000], [0.5350, 0.0700, 0.5000], [0.5350, 0.4650, 0.5000], [0.7105, 0.8552, 0.3176], [0.8552, 0.1448, 0.8176], [0.8552, 0.7105, 0.8176], [0.9300, 0.4650, 0.5000], [0.3333, 0.6667, 0.6044], [0.6667, 0.3333, 0.1044], [0.2099, 0.4198, 0.6911], [0.2099, 0.7901, 0.6911], [0.3333, 0.6667, 0.3290], [0.4198, 0.2099, 0.1911], [0.5802, 0.7901, 0.6911], [0.6667, 0.3333, 0.8290], [0.7901, 0.2099, 0.1911], [0.7901, 0.5802, 0.1911]]}



# 12
{"formula": "Li5Sn", "functional": "PBE", "state": "optimized geometry", "polymorph_energy_ev_per_atom": 0.0174, "total_energy_ev_per_cell": -15.17, "e_form_kcal_per_mol_atoms": -6.160, "sg": "No. 65", "cell": [[2.4066, -4.7183, 0.0000], [2.4066, 4.7183, 0.0000], [0.0000, 0.0000, 4.8007]], "species": ["Li", "Li", "Li", "Li", "Li", "Sn"], "fractional_positions": [[0.0000, 0.0000, 0.0000], [0.1711, 0.8289, 0.5000], [0.3469, 0.6531, 0.0000], [0.6531, 0.3469, 0.0000], [0.8289, 0.1711, 0.5000], [0.5000, 0.5000, 0.5000]]}



# 13
{"formula": "TbSi2Ir3", "functional": "PBE", "state": "optimized geometry", "formation_energy_uncorrected_ev_per_atom": -0.92, "total_energy_ev_per_cell": -142.66, "sg": "No. 12", "cell": [[7.9716, -1.9929, 0.0000], [7.9716, 1.9929, 0.0000], [-3.0652, 0.0000, 9.2743]], "species": ["Tb", "Tb", "Tb", "Si", "Si", "Si", "Si", "Si", "Si", "Ir", "Ir", "Ir", "Ir", "Ir", "Ir", "Ir", "Ir", "Ir"], "fractional_positions": [[0.0000, 0.0000, 0.0000], [0.1582, 0.1582, 0.6992], [0.8418, 0.8418, 0.3008], [0.1972, 0.1972, 0.1297], [0.3626, 0.3626, 0.5518], [0.4643, 0.4643, 0.2211], [0.5357, 0.5357, 0.7789], [0.6374, 0.6374, 0.4482], [0.8028, 0.8028, 0.8703], [0.0404, 0.0404, 0.3293], [0.2197, 0.2197, 0.3924], [0.3234, 0.3234, 0.0431], [0.3772, 0.3772, 0.8011], [0.5000, 0.5000, 0.5000], [0.6228, 0.6228, 0.1989], [0.6766, 0.6766, 0.9569], [0.7803, 0.7803, 0.6076], [0.9596, 0.9596, 0.6707]]}



# 14
{"formula": "LaTc2Ge2P", "functional": "PBE", "state": "optimized geometry", "total_energy_ev_per_cell": -42.94, "e_form_kcal_per_mol_atoms": -10.136, "sg": "No. 123", "cell": [[4.4779, 0.0000, 0.0000], [0.0000, 4.4779, 0.0000], [0.0000, 0.0000, 5.6999]], "species": ["La", "Tc", "Tc", "Ge", "Ge", "P"], "fractional_positions": [[0.0000, 0.0000, 0.0000], [0.0000, 0.5000, 0.5000], [0.5000, 0.0000, 0.5000], [0.5000, 0.5000, 0.2259], [0.5000, 0.5000, 0.7741], [0.0000, 0.0000, 0.5000]]}



# 15
{"formula": "ScCuW3", "functional": "PBE", "state": "optimized geometry", "polymorph_energy_ev_per_atom": 1.0417, "total_energy_ev_per_cell": -36.35, "e_form_kcal_per_mol_atoms": 59.672, "sg": "No. 221", "cell": [[4.5903, 0.0000, 0.0000], [0.0000, 4.5903, 0.0000], [0.0000, 0.0000, 4.5903]], "species": ["Sc", "Cu", "W", "W", "W"], "fractional_positions": [[0.0000, 0.0000, 0.0000], [0.5000, 0.5000, 0.5000], [0.0000, 0.0000, 0.5000], [0.0000, 0.5000, 0.0000], [0.5000, 0.0000, 0.0000]]}